# 1
The following is a DFT calculation (PBEsol) of crystalline BeAlFe2 at its relaxed geometry.

abc: 3.3219 3.5570 3.6407
angles: 90.00 90.00 90.00
Sites, in units of the cell vectors:
Be 0.0000 0.0000 0.0000
Al 0.5000 0.0000 0.5000
Fe 0.0000 0.5000 0.5000
Fe 0.5000 0.5000 0.0000

As for the total energy: -26.7 eV per formula unit. The calculation puts the calculated formation energy at -0.17 eV per atom.



# 2
The following is a DFT calculation (PBEsol) of crystalline SrZr2Cd at its relaxed geometry.

abc: 6.0331 6.0331 3.0064
angles: 90.00 90.00 116.71
Sites, in units of the cell vectors:
Sr 0.0000 0.0000 0.0000
Zr 0.0000 0.5000 0.5000
Zr 0.5000 0.0000 0.5000
Cd 0.5000 0.5000 0.0000

As for the total energy: -19.5 eV per formula unit. The calculation puts the calculated formation energy at 0.42 eV per atom.